Record 1
Below is a relaxed EuMgIn crystal, with properties calculated at the PBE level.

Output
ΔH_f (0 K): -0.23 eV per atom
Space group: I4mm, No. 107

Unit cell a=3.7742 b=3.7742 c=12.0846 alpha=90.00 beta=90.00 gamma=90.00
Fractional coordinates of all 6 atoms:
Eu1 0.0000 0.0000 0.0000
Eu2 0.5000 0.5000 0.5000
Mg1 0.0000 0.0000 0.3070
Mg2 0.5000 0.5000 0.8070
In1 0.0000 0.0000 0.6817
In2 0.5000 0.5000 0.1817

***

Record 2
Below is a relaxed EuMgIn crystal, with properties calculated at the PBE level.

Output
ΔH_f (0 K): -0.33 eV per atom
Space group: P-6m2, No. 187

Unit cell a=5.1711 b=5.1711 c=3.6593 alpha=90.00 beta=90.00 gamma=120.00
Fractional coordinates of all 3 atoms:
Eu1 0.0000 0.0000 0.0000
Mg1 0.3333 0.6667 0.5000
In1 0.6667 0.3333 0.5000

***

Record 3
Below is a relaxed NaEuMgIn crystal, with properties calculated at the PBE level.

Output
ΔH_f (0 K): -0.19 eV per atom
Space group: F-43m, No. 216

Unit cell a=7.5944 b=7.5944 c=7.5944 alpha=90.00 beta=90.00 gamma=90.00
Fractional coordinates of all 16 atoms:
Na1 0.0000 0.0000 0.0000
Na2 0.0000 0.5000 0.5000
Na3 0.5000 0.0000 0.5000
Na4 0.5000 0.5000 0.0000
Eu1 0.2500 0.2500 0.2500
Eu2 0.2500 0.7500 0.7500
Eu3 0.7500 0.2500 0.7500
Eu4 0.7500 0.7500 0.2500
Mg1 0.2500 0.2500 0.7500
Mg2 0.2500 0.7500 0.2500
Mg3 0.7500 0.2500 0.2500
Mg4 0.7500 0.7500 0.7500
In1 0.0000 0.0000 0.5000
In2 0.0000 0.5000 0.0000
In3 0.5000 0.0000 0.0000
In4 0.5000 0.5000 0.5000

***

Record 4
Below is a relaxed NdEuMgIn crystal, with properties calculated at the PBE level.

Output
ΔH_f (0 K): -0.31 eV per atom
Space group: F-43m, No. 216

Unit cell a=7.8282 b=7.8282 c=7.8282 alpha=90.00 beta=90.00 gamma=90.00
Fractional coordinates of all 16 atoms:
Nd1 0.0000 0.0000 0.0000
Nd2 0.0000 0.5000 0.5000
Nd3 0.5000 0.0000 0.5000
Nd4 0.5000 0.5000 0.0000
Eu1 0.0000 0.0000 0.5000
Eu2 0.0000 0.5000 0.0000
Eu3 0.5000 0.0000 0.0000
Eu4 0.5000 0.5000 0.5000
Mg1 0.2500 0.2500 0.2500
Mg2 0.2500 0.7500 0.7500
Mg3 0.7500 0.2500 0.7500
Mg4 0.7500 0.7500 0.2500
In1 0.2500 0.2500 0.7500
In2 0.2500 0.7500 0.2500
In3 0.7500 0.2500 0.2500
In4 0.7500 0.7500 0.7500

***

Record 5
Below is a relaxed EuMgInPb crystal, with properties calculated at the PBE level.

Output
ΔH_f (0 K): -0.30 eV per atom
Space group: F-43m, No. 216

Unit cell a=7.6411 b=7.6411 c=7.6411 alpha=90.00 beta=90.00 gamma=90.00
Fractional coordinates of all 16 atoms:
Eu1 0.0000 0.0000 0.0000
Eu2 0.0000 0.5000 0.5000
Eu3 0.5000 0.0000 0.5000
Eu4 0.5000 0.5000 0.0000
Mg1 0.0000 0.0000 0.5000
Mg2 0.0000 0.5000 0.0000
Mg3 0.5000 0.0000 0.0000
Mg4 0.5000 0.5000 0.5000
In1 0.2500 0.2500 0.7500
In2 0.2500 0.7500 0.2500
In3 0.7500 0.2500 0.2500
In4 0.7500 0.7500 0.7500
Pb1 0.2500 0.2500 0.2500
Pb2 0.2500 0.7500 0.7500
Pb3 0.7500 0.2500 0.7500
Pb4 0.7500 0.7500 0.2500

***

Record 6
Below is a relaxed PmEuMgIn crystal, with properties calculated at the PBE level.

Output
ΔH_f (0 K): -0.30 eV per atom
Space group: F-43m, No. 216

Unit cell a=7.8019 b=7.8019 c=7.8019 alpha=90.00 beta=90.00 gamma=90.00
Fractional coordinates of all 16 atoms:
Pm1 0.0000 0.0000 0.0000
Pm2 0.0000 0.5000 0.5000
Pm3 0.5000 0.0000 0.5000
Pm4 0.5000 0.5000 0.0000
Eu1 0.0000 0.0000 0.5000
Eu2 0.0000 0.5000 0.0000
Eu3 0.5000 0.0000 0.0000
Eu4 0.5000 0.5000 0.5000
Mg1 0.2500 0.2500 0.2500
Mg2 0.2500 0.7500 0.7500
Mg3 0.7500 0.2500 0.7500
Mg4 0.7500 0.7500 0.2500
In1 0.2500 0.2500 0.7500
In2 0.2500 0.7500 0.2500
In3 0.7500 0.2500 0.2500
In4 0.7500 0.7500 0.7500

***

Record 7
Below is a relaxed PrEuMgIn crystal, with properties calculated at the PBE level.

Output
ΔH_f (0 K): -0.31 eV per atom
Space group: F-43m, No. 216

Unit cell a=7.8571 b=7.8571 c=7.8571 alpha=90.00 beta=90.00 gamma=90.00
Fractional coordinates of all 16 atoms:
Pr1 0.0000 0.0000 0.0000
Pr2 0.0000 0.5000 0.5000
Pr3 0.5000 0.0000 0.5000
Pr4 0.5000 0.5000 0.0000
Eu1 0.0000 0.0000 0.5000
Eu2 0.0000 0.5000 0.0000
Eu3 0.5000 0.0000 0.0000
Eu4 0.5000 0.5000 0.5000
Mg1 0.2500 0.2500 0.2500
Mg2 0.2500 0.7500 0.7500
Mg3 0.7500 0.2500 0.7500
Mg4 0.7500 0.7500 0.2500
In1 0.2500 0.2500 0.7500
In2 0.2500 0.7500 0.2500
In3 0.7500 0.2500 0.2500
In4 0.7500 0.7500 0.7500

***

Record 8
Below is a relaxed EuMgScIn crystal, with properties calculated at the PBE level.

Output
ΔH_f (0 K): -0.24 eV per atom
Space group: F-43m, No. 216

Unit cell a=7.4932 b=7.4932 c=7.4932 alpha=90.00 beta=90.00 gamma=90.00
Fractional coordinates of all 16 atoms:
Eu1 0.0000 0.0000 0.0000
Eu2 0.0000 0.5000 0.5000
Eu3 0.5000 0.0000 0.5000
Eu4 0.5000 0.5000 0.0000
Mg1 0.2500 0.2500 0.2500
Mg2 0.2500 0.7500 0.7500
Mg3 0.7500 0.2500 0.7500
Mg4 0.7500 0.7500 0.2500
Sc1 0.0000 0.0000 0.5000
Sc2 0.0000 0.5000 0.0000
Sc3 0.5000 0.0000 0.0000
Sc4 0.5000 0.5000 0.5000
In1 0.2500 0.2500 0.7500
In2 0.2500 0.7500 0.2500
In3 0.7500 0.2500 0.2500
In4 0.7500 0.7500 0.7500